CeZnRh4 | PBE | relaxed

Structure (extended XYZ):
```
12
Lattice="-1.094 4.285 1.107 -5.469 -4.076 1.003 6.937 0.450 5.122" Properties=species:S:1:pos:R:3 pbc="T T T"
Ce -4.008 -2.892 2.560
Ce 4.382 3.551 4.672
Zn -3.282 0.104 1.055
Zn 0.734 -1.813 3.063
Rh -2.365 2.479 2.160
Rh -1.277 0.096 3.064
Rh 2.739 -1.821 5.072
Rh 1.651 0.562 4.168
Rh -1.610 -2.574 3.697
Rh 5.999 1.315 5.542
Rh 1.984 3.232 3.534
Rh -5.626 -0.657 1.690
```

Calculated values
ΔE_f = -2.3 eV per formula unit
DOS(E_F) = 10.5 states/eV/cell
Offset from the most stable computed form = 24.9 meV per atom
Theoretical density = 10.16 Mg/m³
Energy = -6.482 eV/atom

Sr3ZnAs3 | PBE | relaxed

Structure (extended XYZ):
```
28
Lattice="6.531 0.000 0.000 -3.266 9.651 0.000 0.000 0.000 12.864" Properties=species:S:1:pos:R:3 pbc="T T T"
Sr 4.533 0.000 10.993
Sr 5.264 0.000 4.561
Sr 1.267 0.000 8.304
Sr 1.998 0.000 1.872
Sr -1.936 6.295 4.753
Sr 1.936 3.356 11.185
Sr 4.595 3.356 1.679
Sr 1.936 6.295 8.111
Sr 5.202 3.356 8.111
Sr 1.330 6.295 1.679
Sr -1.330 6.295 11.185
Sr 1.330 3.356 4.753
Zn 0.000 8.024 6.432
Zn 0.000 1.627 0.000
Zn 3.266 1.627 6.432
Zn 3.266 8.024 0.000
As 1.406 0.000 11.479
As 1.860 0.000 5.047
As 4.671 0.000 7.818
As 5.126 0.000 1.386
As 1.386 6.544 4.891
As 5.145 3.107 11.324
As 1.386 3.107 1.541
As -1.386 6.544 7.973
As 1.879 3.107 7.973
As -1.879 6.544 1.541
As 1.879 6.544 11.324
As 4.652 3.107 4.891
```

Calculated values
ΔE_f = -6.6 eV per formula unit
DOS(E_F) = 22.2 states/eV/cell
Theoretical density = 4.53 Mg/m³
Energy = -3.841 eV/atom

NpNiSe2 | PBE | relaxed

Structure (extended XYZ):
```
4
Lattice="4.039 0.125 0.310 -0.220 3.679 1.380 -0.441 -0.096 5.798" Properties=species:S:1:pos:R:3 pbc="T T T"
Np 1.483 1.891 6.420
Ni 1.683 3.063 3.326
Se -0.257 3.460 1.958
Se 1.717 0.781 3.805
```

Calculated values
Energy relative to the elements, uncorrected = -0.6975 eV/atom
DOS(E_F) = 8.2 states/eV/cell
Offset from the most stable computed form = 69.1 meV per atom
Theoretical density = 8.63 Mg/m³
Energy = -7.120 eV/atom

Ac2Zn3AgAu4 | PBE | relaxed

Structure (extended XYZ):
```
10
Lattice="-1.195 -3.482 2.600 3.898 0.334 2.238 -4.754 7.033 7.231" Properties=species:S:1:pos:R:3 pbc="T T T"
Ac -1.775 0.000 3.090
Ac -1.628 5.458 6.560
Zn -2.377 3.516 3.615
Zn -4.771 4.432 7.648
Zn 1.368 1.026 2.003
Ag -1.026 1.942 6.035
Au 1.351 -1.574 2.419
Au 0.000 0.000 0.000
Au -3.671 2.806 5.975
Au 0.268 2.653 3.675
```

Calculated values
ΔE_f = -5.2 eV per formula unit
DOS(E_F) = 5.0 states/eV/cell
Theoretical density = 11.33 Mg/m³
Energy = -3.323 eV/atom

Ca2YOs | PBE | relaxed

Structure (extended XYZ):
```
4
Lattice="0.000 3.660 3.660 3.660 0.000 3.660 3.660 3.660 0.000" Properties=species:S:1:pos:R:3 pbc="T T T"
Y 0.000 0.000 0.000
Ca 1.830 1.830 1.830
Ca 5.489 5.489 5.489
Os 3.660 3.660 3.660
```

Calculated values
ΔE_f = 2.1 eV per formula unit
DOS(E_F) = 5.2 states/eV/cell
Offset from the most stable computed form = 428.8 meV per atom
Theoretical density = 6.09 Mg/m³
Energy = -4.909 eV/atom

Rb3SbPt2 | PBE | relaxed

Structure (extended XYZ):
```
24
Lattice="-9.802 1.446 -4.429 -3.998 0.422 8.985 5.891 7.090 2.288" Properties=species:S:1:pos:R:3 pbc="T T T"
Rb -6.104 0.907 7.839
Rb -1.710 3.979 4.258
Rb -1.804 8.050 -0.995
Rb -6.198 4.978 2.586
Rb -5.082 1.535 3.587
Rb 0.736 2.984 0.716
Rb -2.826 7.422 3.257
Rb -8.644 5.973 6.128
Rb -9.788 3.719 2.771
Rb -5.382 2.354 -0.596
Rb 1.880 5.238 4.073
Rb -2.526 6.603 7.441
Sb -5.414 4.336 6.470
Sb -1.277 0.431 3.103
Sb -2.494 4.621 0.374
Sb -6.631 8.526 3.741
Pt -7.448 3.013 5.440
Pt -8.905 3.185 -0.609
Pt -0.460 5.944 1.404
Pt 0.997 5.772 7.453
Pt -3.618 2.396 6.468
Pt -2.411 2.301 1.617
Pt -4.290 6.561 0.377
Pt -5.497 6.656 5.227
```

Calculated values
Energy relative to the elements, uncorrected = -0.1879 eV/atom
DOS(E_F) = 6.3 states/eV/cell
Theoretical density = 6.07 Mg/m³
Energy = -3.372 eV/atom

La2ZnFeHg | PBE | relaxed

Structure (extended XYZ):
```
5
Lattice="5.143 0.000 0.000 0.000 5.143 0.000 0.000 0.000 4.833" Properties=species:S:1:pos:R:3 pbc="T T T"
Fe 0.000 0.000 0.000
Zn 0.000 0.000 2.416
Hg 2.571 2.571 2.416
La 0.000 2.571 0.000
La 2.571 0.000 0.000
```

Calculated values
ΔE_f = -0.9 eV per formula unit
DOS(E_F) = 4.4 states/eV/cell
Theoretical density = 7.79 Mg/m³
Energy = -4.160 eV/atom

Pm6ErTl2 | PBE | relaxed

Structure (extended XYZ):
```
18
Lattice="5.980 -0.127 -0.123 1.481 9.763 1.272 1.481 1.588 9.717" Properties=species:S:1:pos:R:3 pbc="T T T"
Pm 4.445 7.204 5.125
Pm 1.505 5.932 3.893
Pm 4.495 4.020 5.741
Pm 7.435 5.293 6.973
Pm 4.691 1.587 3.572
Pm 7.240 7.539 9.334
Pm 4.250 9.637 7.294
Pm 1.701 3.685 1.532
Pm 4.424 9.103 10.652
Pm 1.527 0.346 2.175
Pm 4.516 2.122 0.214
Pm 7.414 10.878 8.691
Er 2.975 2.724 8.480
Er 5.965 8.500 2.386
Tl 4.346 6.271 8.312
Tl 1.605 2.777 4.930
Tl 4.595 4.954 2.555
Tl 7.336 8.447 5.937
```

Calculated values
ΔE_f = -1.0 eV per formula unit
DOS(E_F) = 22.0 states/eV/cell
Offset from the most stable computed form = 40.3 meV per atom
Theoretical density = 8.60 Mg/m³
Energy = -4.310 eV/atom

> Which value of DOS(E_F) does entry 8 give?

22.0 states/eV/cell

> The lowest energy belongs to which entry?

NpNiSe2

> Among the records above, which one has the highest energy?

Ac2Zn3AgAu4

> theoretical density of number 4 (Ac2Zn3AgAu4)?

11.33 Mg/m³